[1]
# BaBeRe2 (GGA-PBEsol, relaxed)
data_BaBeRe2
_chemical_formula_sum 'Ba1 Be1 Re2'
_symmetry_space_group_name_H-M 'P 4/m m m'
_symmetry_Int_Tables_number 123
_symmetry_space_group_name_Hall '-P 4 2'
_cell_length_a 3.0722
_cell_length_b 3.0722
_cell_length_c 7.7148
_cell_angle_alpha 90.00
_cell_angle_beta 90.00
_cell_angle_gamma 90.00
loop_
_atom_site_label
_atom_site_type_symbol
_atom_site_fract_x
_atom_site_fract_y
_atom_site_fract_z
Ba1 Ba 0.0000 0.0000 0.0000
Be1 Be 0.0000 0.0000 0.5000
Re1 Re 0.5000 0.5000 0.3512
# V in Å³ per atom: 18.2
# DFT total energy in eV/atom: -7.424
# Size of the total moment in μB/cell: 0.0
# E_form in eV/f.u.: 3.12



[2]
# HfAgBr3 (GGA-PBEsol, relaxed)
data_HfAgBr3
_chemical_formula_sum 'Hf1 Ag1 Br3'
_symmetry_space_group_name_H-M 'P m -3 m'
_symmetry_Int_Tables_number 221
_symmetry_space_group_name_Hall '-P 4 2 3'
_cell_length_a 5.1632
_cell_length_b 5.1632
_cell_length_c 5.1632
_cell_angle_alpha 90.00
_cell_angle_beta 90.00
_cell_angle_gamma 90.00
loop_
_atom_site_label
_atom_site_type_symbol
_atom_site_fract_x
_atom_site_fract_y
_atom_site_fract_z
Hf1 Hf 0.0000 0.0000 0.0000
Ag1 Ag 0.5000 0.5000 0.5000
Br1 Br 0.0000 0.0000 0.5000
# Formation energy from raw total energies in eV/atom: -0.34
# V in Å³ per atom: 27.5
# DFT total energy in eV/atom: -4.224
# Size of the total moment in μB/cell: 0.0



[3]
# Cs4PbBr6 (GGA-PBEsol, relaxed)
data_Cs4PbBr6
_chemical_formula_sum 'Cs24 Pb6 Br36'
_symmetry_space_group_name_H-M 'R -3 c'
_symmetry_Int_Tables_number 167
_symmetry_space_group_name_Hall '-R 3 2"c'
_cell_length_a 14.0415
_cell_length_b 14.0415
_cell_length_c 17.5817
_cell_angle_alpha 90.00
_cell_angle_beta 90.00
_cell_angle_gamma 120.00
loop_
_atom_site_label
_atom_site_type_symbol
_atom_site_fract_x
_atom_site_fract_y
_atom_site_fract_z
Cs1 Cs 0.0000 0.0000 0.2500
Cs2 Cs 0.0000 0.3755 0.2500
Pb1 Pb 0.0000 0.0000 0.0000
Br1 Br 0.0291 0.1911 0.3986
# Formation energy from raw total energies in eV/atom: -1.57
# V in Å³ per atom: 45.5
# DFT total energy in eV/atom: -3.295
# Size of the total moment in μB/cell: 0.0



[4]
# TmCdAg2 (GGA-PBEsol, relaxed)
data_TmCdAg2
_chemical_formula_sum 'Tm4 Cd4 Ag8'
_symmetry_space_group_name_H-M 'F m -3 m'
_symmetry_Int_Tables_number 225
_symmetry_space_group_name_Hall '-F 4 2 3'
_cell_length_a 6.7845
_cell_length_b 6.7845
_cell_length_c 6.7845
_cell_angle_alpha 90.00
_cell_angle_beta 90.00
_cell_angle_gamma 90.00
loop_
_atom_site_label
_atom_site_type_symbol
_atom_site_fract_x
_atom_site_fract_y
_atom_site_fract_z
Tm1 Tm 0.0000 0.0000 0.0000
Cd1 Cd 0.0000 0.0000 0.5000
Ag1 Ag 0.2500 0.2500 0.2500
# V in Å³ per atom: 19.5
# DFT total energy in eV/atom: -3.485
# Size of the total moment in μB/cell: 0.0
# E_form in eV/f.u.: -1.22



[5]
# Cd3MoI (GGA-PBEsol, relaxed)
data_Cd3MoI
_chemical_formula_sum 'Cd3 Mo1 I1'
_symmetry_space_group_name_H-M 'P m -3 m'
_symmetry_Int_Tables_number 221
_symmetry_space_group_name_Hall '-P 4 2 3'
_cell_length_a 5.6592
_cell_length_b 5.6592
_cell_length_c 5.6592
_cell_angle_alpha 90.00
_cell_angle_beta 90.00
_cell_angle_gamma 90.00
loop_
_atom_site_label
_atom_site_type_symbol
_atom_site_fract_x
_atom_site_fract_y
_atom_site_fract_z
Cd1 Cd 0.0000 0.0000 0.5000
Mo1 Mo 0.5000 0.5000 0.5000
I1 I 0.0000 0.0000 0.0000
# Formation energy from raw total energies in eV/atom: 1.71
# V in Å³ per atom: 36.2
# DFT total energy in eV/atom: -1.713
# Size of the total moment in μB/cell: 5.0



[6]
# OsPtSe2 (GGA-PBEsol, relaxed)
data_OsPtSe2
_chemical_formula_sum 'Os4 Pt4 Se8'
_symmetry_space_group_name_H-M 'F -4 3 m'
_symmetry_Int_Tables_number 216
_symmetry_space_group_name_Hall 'F -4 2 3'
_cell_length_a 6.3732
_cell_length_b 6.3732
_cell_length_c 6.3732
_cell_angle_alpha 90.00
_cell_angle_beta 90.00
_cell_angle_gamma 90.00
loop_
_atom_site_label
_atom_site_type_symbol
_atom_site_fract_x
_atom_site_fract_y
_atom_site_fract_z
Os1 Os 0.0000 0.0000 0.0000
Pt1 Pt 0.2500 0.2500 0.2500
Se1 Se 0.0000 0.0000 0.5000
Se2 Se 0.2500 0.2500 0.7500
# Formation energy from raw total energies in eV/atom: 0.87
# V in Å³ per atom: 16.2
# DFT total energy in eV/atom: -5.847
# Size of the total moment in μB/cell: 0.0
# Distance to the lowest polymorph of the same formula in kcal/mol of atoms: 14.87



[7]
# NiRu2Pt (GGA-PBEsol, relaxed)
data_NiRu2Pt
_chemical_formula_sum 'Ni3 Ru6 Pt3'
_symmetry_space_group_name_H-M 'R -3 m'
_symmetry_Int_Tables_number 166
_symmetry_space_group_name_Hall '-R 3 2"'
_cell_length_a 2.6575
_cell_length_b 2.6575
_cell_length_c 25.7704
_cell_angle_alpha 90.00
_cell_angle_beta 90.00
_cell_angle_gamma 120.00
loop_
_atom_site_label
_atom_site_type_symbol
_atom_site_fract_x
_atom_site_fract_y
_atom_site_fract_z
Ni1 Ni 0.0000 0.0000 0.0000
Ru1 Ru 0.0000 0.0000 0.2549
Pt1 Pt 0.0000 0.0000 0.5000
# V in Å³ per atom: 13.1
# DFT total energy in eV/atom: -8.214
# Size of the total moment in μB/cell: 0.0
# Distance to the lowest polymorph of the same formula in kcal/mol of atoms: 3.24
# E_form in eV/f.u.: 0.61



[8]
# LaW2Br2 (GGA-PBEsol, relaxed)
data_LaW2Br2
_chemical_formula_sum 'La2 W4 Br4'
_symmetry_space_group_name_H-M 'I 4/m m m'
_symmetry_Int_Tables_number 139
_symmetry_space_group_name_Hall '-I 4 2'
_cell_length_a 4.6433
_cell_length_b 4.6433
_cell_length_c 9.9898
_cell_angle_alpha 90.00
_cell_angle_beta 90.00
_cell_angle_gamma 90.00
loop_
_atom_site_label
_atom_site_type_symbol
_atom_site_fract_x
_atom_site_fract_y
_atom_site_fract_z
La1 La 0.0000 0.0000 0.0000
W1 W 0.0000 0.0000 0.3850
Br1 Br 0.0000 0.5000 0.2500
# Formation energy from raw total energies in eV/atom: 0.52
# V in Å³ per atom: 21.5
# DFT total energy in eV/atom: -6.823
# Size of the total moment in μB/cell: 0.0



[9]
# TaNiPt2 (GGA-PBEsol, relaxed)
data_TaNiPt2
_chemical_formula_sum 'Ta2 Ni2 Pt4'
_symmetry_space_group_name_H-M 'I -4 m 2'
_symmetry_Int_Tables_number 119
_symmetry_space_group_name_Hall 'I -4 -2'
_cell_length_a 3.8183
_cell_length_b 3.8183
_cell_length_c 7.8616
_cell_angle_alpha 90.00
_cell_angle_beta 90.00
_cell_angle_gamma 90.00
loop_
_atom_site_label
_atom_site_type_symbol
_atom_site_fract_x
_atom_site_fract_y
_atom_site_fract_z
Ta1 Ta 0.0000 0.0000 0.0000
Ni1 Ni 0.0000 0.5000 0.7500
Pt1 Pt 0.0000 0.0000 0.5000
Pt2 Pt 0.0000 0.5000 0.2500
# V in Å³ per atom: 14.3
# DFT total energy in eV/atom: -8.783
# Size of the total moment in μB/cell: 0.0
# E_form in eV/f.u.: -2.50



[10]
# KTcRh2 (GGA-PBEsol, relaxed)
data_KTcRh2
_chemical_formula_sum 'K2 Tc2 Rh4'
_symmetry_space_group_name_H-M 'I -4 m 2'
_symmetry_Int_Tables_number 119
_symmetry_space_group_name_Hall 'I -4 -2'
_cell_length_a 4.0482
_cell_length_b 4.0482
_cell_length_c 7.7337
_cell_angle_alpha 90.00
_cell_angle_beta 90.00
_cell_angle_gamma 90.00
loop_
_atom_site_label
_atom_site_type_symbol
_atom_site_fract_x
_atom_site_fract_y
_atom_site_fract_z
K1 K 0.0000 0.0000 0.0000
Tc1 Tc 0.0000 0.5000 0.7500
Rh1 Rh 0.0000 0.0000 0.5000
Rh2 Rh 0.0000 0.5000 0.2500
# V in Å³ per atom: 15.8
# DFT total energy in eV/atom: -5.891
# Size of the total moment in μB/cell: 1.4
# Distance to the lowest polymorph of the same formula in kcal/mol of atoms: 20.82
# E_form in eV/f.u.: 5.11



[11]
# TiCuHg3 (GGA-PBEsol, relaxed)
data_TiCuHg3
_chemical_formula_sum 'Ti1 Cu1 Hg3'
_symmetry_space_group_name_H-M 'P m -3 m'
_symmetry_Int_Tables_number 221
_symmetry_space_group_name_Hall '-P 4 2 3'
_cell_length_a 4.8037
_cell_length_b 4.8037
_cell_length_c 4.8037
_cell_angle_alpha 90.00
_cell_angle_beta 90.00
_cell_angle_gamma 90.00
loop_
_atom_site_label
_atom_site_type_symbol
_atom_site_fract_x
_atom_site_fract_y
_atom_site_fract_z
Ti1 Ti 0.0000 0.0000 0.0000
Cu1 Cu 0.5000 0.5000 0.5000
Hg1 Hg 0.0000 0.5000 0.5000
# V in Å³ per atom: 22.2
# DFT total energy in eV/atom: -2.317
# Size of the total moment in μB/cell: 1.9
# E_form in eV/f.u.: 2.77



[12]
# HfI2NF (GGA-PBEsol, relaxed)
data_HfI2NF
_chemical_formula_sum 'Hf1 I2 N1 F1'
_symmetry_space_group_name_H-M 'P 4/m m m'
_symmetry_Int_Tables_number 123
_symmetry_space_group_name_Hall '-P 4 2'
_cell_length_a 5.5854
_cell_length_b 5.5854
_cell_length_c 4.0430
_cell_angle_alpha 90.00
_cell_angle_beta 90.00
_cell_angle_gamma 90.00
loop_
_atom_site_label
_atom_site_type_symbol
_atom_site_fract_x
_atom_site_fract_y
_atom_site_fract_z
Hf1 Hf 0.0000 0.0000 0.0000
I1 I 0.0000 0.5000 0.0000
N1 N 0.0000 0.0000 0.5000
F1 F 0.5000 0.5000 0.5000
# Formation energy from raw total energies in eV/atom: -0.27
# V in Å³ per atom: 25.2
# DFT total energy in eV/atom: -5.169
# Size of the total moment in μB/cell: 1.9



[13]
# Cd2RuCl (GGA-PBEsol, relaxed)
data_Cd2RuCl
_chemical_formula_sum 'Cd8 Ru4 Cl4'
_symmetry_space_group_name_H-M 'F m -3 m'
_symmetry_Int_Tables_number 225
_symmetry_space_group_name_Hall '-F 4 2 3'
_cell_length_a 6.6795
_cell_length_b 6.6795
_cell_length_c 6.6795
_cell_angle_alpha 90.00
_cell_angle_beta 90.00
_cell_angle_gamma 90.00
loop_
_atom_site_label
_atom_site_type_symbol
_atom_site_fract_x
_atom_site_fract_y
_atom_site_fract_z
Cd1 Cd 0.2500 0.2500 0.2500
Ru1 Ru 0.0000 0.0000 0.0000
Cl1 Cl 0.0000 0.0000 0.5000
# Formation energy from raw total energies in eV/atom: 0.68
# V in Å³ per atom: 18.6
# DFT total energy in eV/atom: -2.968
# Size of the total moment in μB/cell: 4.4



[14]
# FeSiRu2 (GGA-PBEsol, relaxed)
data_FeSiRu2
_chemical_formula_sum 'Fe2 Si2 Ru4'
_symmetry_space_group_name_H-M 'A m m 2'
_symmetry_Int_Tables_number 38
_cell_length_a 3.8322
_cell_length_b 2.6603
_cell_length_c 9.4661
_cell_angle_alpha 90.00
_cell_angle_beta 90.00
_cell_angle_gamma 90.00
loop_
_symmetry_equiv_pos_as_xyz
'x,y,z'
'-x,-y,z'
'-x,y,z'
'x,-y,z'
'x,y+1/2,z+1/2'
'-x,-y+1/2,z+1/2'
'-x,y+1/2,z+1/2'
'x,-y+1/2,z+1/2'
loop_
_atom_site_label
_atom_site_type_symbol
_atom_site_fract_x
_atom_site_fract_y
_atom_site_fract_z
Fe1 Fe 0.0000 0.0000 0.0000
Si1 Si 0.5000 0.0000 0.8664
Ru1 Ru 0.0000 0.0000 0.2610
Ru2 Ru 0.5000 0.0000 0.6042
# Formation energy from raw total energies in eV/atom: -0.21
# V in Å³ per atom: 12.1
# DFT total energy in eV/atom: -8.976
# Size of the total moment in μB/cell: 0.0



[15]
# TaGeS2N (GGA-PBEsol, relaxed)
data_TaGeS2N
_chemical_formula_sum 'Ta1 Ge1 S2 N1'
_symmetry_space_group_name_H-M 'P 4/m m m'
_symmetry_Int_Tables_number 123
_symmetry_space_group_name_Hall '-P 4 2'
_cell_length_a 4.8649
_cell_length_b 4.8649
_cell_length_c 3.8610
_cell_angle_alpha 90.00
_cell_angle_beta 90.00
_cell_angle_gamma 90.00
loop_
_atom_site_label
_atom_site_type_symbol
_atom_site_fract_x
_atom_site_fract_y
_atom_site_fract_z
Ta1 Ta 0.0000 0.0000 0.0000
Ge1 Ge 0.5000 0.5000 0.5000
S1 S 0.0000 0.5000 0.0000
N1 N 0.0000 0.0000 0.5000
# Formation energy from raw total energies in eV/atom: -0.15
# V in Å³ per atom: 18.3
# DFT total energy in eV/atom: -7.106
# Size of the total moment in μB/cell: 0.0



[16]
# La2Al2Os (GGA-PBEsol, relaxed)
data_La2Al2Os
_chemical_formula_sum 'La4 Al4 Os2'
_symmetry_space_group_name_H-M 'I 4/m m m'
_symmetry_Int_Tables_number 139
_symmetry_space_group_name_Hall '-I 4 2'
_cell_length_a 3.5996
_cell_length_b 3.5996
_cell_length_c 18.6056
_cell_angle_alpha 90.00
_cell_angle_beta 90.00
_cell_angle_gamma 90.00
loop_
_atom_site_label
_atom_site_type_symbol
_atom_site_fract_x
_atom_site_fract_y
_atom_site_fract_z
La1 La 0.0000 0.0000 0.0911
Al1 Al 0.0000 0.5000 0.2500
Os1 Os 0.0000 0.0000 0.5000
# V in Å³ per atom: 24.1
# DFT total energy in eV/atom: -6.131
# Size of the total moment in μB/cell: 0.0
# E_form in eV/f.u.: 0.44



[17]
# KLiHf2Nb (GGA-PBEsol, relaxed)
data_KLiHf2Nb
_chemical_formula_sum 'K1 Li1 Hf2 Nb1'
_symmetry_space_group_name_H-M 'P 4/m m m'
_symmetry_Int_Tables_number 123
_symmetry_space_group_name_Hall '-P 4 2'
_cell_length_a 4.8909
_cell_length_b 4.8909
_cell_length_c 4.7022
_cell_angle_alpha 90.00
_cell_angle_beta 90.00
_cell_angle_gamma 90.00
loop_
_atom_site_label
_atom_site_type_symbol
_atom_site_fract_x
_atom_site_fract_y
_atom_site_fract_z
K1 K 0.0000 0.0000 0.0000
Li1 Li 0.5000 0.5000 0.5000
Hf1 Hf 0.0000 0.5000 0.5000
Nb1 Nb 0.5000 0.5000 0.0000
# V in Å³ per atom: 22.5
# DFT total energy in eV/atom: -5.501
# Size of the total moment in μB/cell: 0.0
# E_form in eV/f.u.: 7.42



[18]
# CuRuPt2 (GGA-PBEsol, relaxed)
data_CuRuPt2
_chemical_formula_sum 'Cu2 Ru2 Pt4'
_symmetry_space_group_name_H-M 'I m m 2'
_symmetry_Int_Tables_number 44
_cell_length_a 2.7029
_cell_length_b 4.5524
_cell_length_c 9.0293
_cell_angle_alpha 90.00
_cell_angle_beta 90.00
_cell_angle_gamma 90.00
loop_
_symmetry_equiv_pos_as_xyz
'x,y,z'
'-x,-y,z'
'-x,y,z'
'x,-y,z'
'x+1/2,y+1/2,z+1/2'
'-x+1/2,-y+1/2,z+1/2'
'-x+1/2,y+1/2,z+1/2'
'x+1/2,-y+1/2,z+1/2'
loop_
_atom_site_label
_atom_site_type_symbol
_atom_site_fract_x
_atom_site_fract_y
_atom_site_fract_z
Cu1 Cu 0.0000 0.0000 0.0000
Ru1 Ru 0.0000 0.5000 0.7388
Pt1 Pt 0.0000 0.0000 0.4927
Pt2 Pt 0.0000 0.5000 0.2608
# V in Å³ per atom: 13.9
# DFT total energy in eV/atom: -6.940
# Size of the total moment in μB/cell: 0.0
# Distance to the lowest polymorph of the same formula in kcal/mol of atoms: 4.77
# E_form in eV/f.u.: 0.67



[19]
# SrSb2Ir (GGA-PBEsol, relaxed)
data_SrSb2Ir
_chemical_formula_sum 'Sr3 Sb6 Ir3'
_symmetry_space_group_name_H-M 'R -3 m'
_symmetry_Int_Tables_number 166
_symmetry_space_group_name_Hall '-R 3 2"'
_cell_length_a 4.3236
_cell_length_b 4.3236
_cell_length_c 18.5020
_cell_angle_alpha 90.00
_cell_angle_beta 90.00
_cell_angle_gamma 120.00
loop_
_atom_site_label
_atom_site_type_symbol
_atom_site_fract_x
_atom_site_fract_y
_atom_site_fract_z
Sr1 Sr 0.0000 0.0000 0.0000
Sb1 Sb 0.0000 0.0000 0.2224
Ir1 Ir 0.0000 0.0000 0.5000
# Formation energy from raw total energies in eV/atom: -0.56
# V in Å³ per atom: 25.0
# DFT total energy in eV/atom: -5.753
# Size of the total moment in μB/cell: 0.0



[20]
# K2ReHg (GGA-PBEsol, relaxed)
data_K2ReHg
_chemical_formula_sum 'K4 Re2 Hg2'
_symmetry_space_group_name_H-M 'I m m 2'
_symmetry_Int_Tables_number 44
_cell_length_a 2.7470
_cell_length_b 6.1723
_cell_length_c 13.0590
_cell_angle_alpha 90.00
_cell_angle_beta 90.00
_cell_angle_gamma 90.00
loop_
_symmetry_equiv_pos_as_xyz
'x,y,z'
'-x,-y,z'
'-x,y,z'
'x,-y,z'
'x+1/2,y+1/2,z+1/2'
'-x+1/2,-y+1/2,z+1/2'
'-x+1/2,y+1/2,z+1/2'
'x+1/2,-y+1/2,z+1/2'
loop_
_atom_site_label
_atom_site_type_symbol
_atom_site_fract_x
_atom_site_fract_y
_atom_site_fract_z
K1 K 0.0000 0.0000 0.0000
K2 K 0.0000 0.5000 0.1936
Re1 Re 0.0000 0.5000 0.7521
Hg1 Hg 0.0000 0.0000 0.4374
# V in Å³ per atom: 27.7
# DFT total energy in eV/atom: -2.969
# Size of the total moment in μB/cell: 2.5
# E_form in eV/f.u.: 4.29